(1)
Computed, not measured: crystalline BaAlI2 at its relaxed geometry at the PBE level of DFT.

Cell and atoms, written as extended XYZ:
```
4
Lattice="0.000 4.225 4.225 4.225 0.000 4.225 4.225 4.225 0.000" Properties=species:S:1:pos:R:3 pbc="T T T"
Al 0.000 0.000 0.000
Ba 4.225 4.225 4.225
I 6.337 6.337 6.337
I 2.112 2.112 2.112
```

Space-group type: Fm-3m
Energy above the lowest structure with this stoichiometry in meV per atom: 0
Uncorrected formation energy in eV per atom: -0.69

---

(2)
Computed, not measured: crystalline Tl6WBr12 at its relaxed geometry at the PBE level of DFT.

Cell and atoms, written as extended XYZ:
```
19
Lattice="9.091 0.100 -1.300 -1.513 8.965 -1.300 0.084 0.100 9.183" Properties=species:S:1:pos:R:3 pbc="T T T"
Br 3.500 1.659 4.345
Br -0.054 2.459 -0.401
Br 4.162 7.506 2.239
Br 0.778 5.040 2.806
Br 7.716 6.706 6.985
Br 5.170 9.128 6.576
Br 4.448 3.738 0.347
Br 2.492 0.037 0.007
Br 7.693 8.782 4.121
Br 6.884 4.125 3.778
Br 3.214 5.427 6.237
Br -0.031 0.383 2.463
Tl 5.771 1.600 2.208
Tl 5.397 3.202 6.371
Tl 1.034 3.287 5.373
Tl 1.891 7.565 4.376
Tl 2.266 5.964 0.213
Tl 6.628 5.879 1.210
W 0.000 0.000 0.000
```

Space-group type: R-3
Uncorrected formation energy in eV per atom: -0.67

---

(3)
Computed, not measured: crystalline BeRe2Tc at its relaxed geometry at the PBE level of DFT.

Cell and atoms, written as extended XYZ:
```
4
Lattice="-2.238 -3.928 -2.049 -0.861 -3.924 2.928 -0.855 4.856 -0.658" Properties=species:S:1:pos:R:3 pbc="T T T"
Tc -2.367 1.020 -0.228
Be -1.634 -1.498 1.353
Re -2.321 -1.500 -1.135
Re -0.036 -0.088 0.011
```

Space-group type: P1

---

(4)
Computed, not measured: crystalline Rb2MgBeAs at its relaxed geometry at the PBE level of DFT.

Cell and atoms, written as extended XYZ:
```
5
Lattice="-4.564 -4.052 -0.657 3.143 -3.720 1.107 -1.387 0.598 5.950" Properties=species:S:1:pos:R:3 pbc="T T T"
Be 0.000 0.000 0.000
As -1.404 -3.587 3.200
Rb -0.694 0.299 2.975
Rb -2.282 -2.026 -0.329
Mg 1.572 -1.860 0.553
```

Space-group type: P4/mmm

---

(5)
Computed, not measured: crystalline MnGeTe3 at its relaxed geometry at the PBE level of DFT.

Cell and atoms, written as extended XYZ:
```
5
Lattice="5.400 0.000 0.000 0.000 5.400 0.000 0.000 0.000 5.400" Properties=species:S:1:pos:R:3 pbc="T T T"
Te 0.000 0.000 2.700
Te 0.000 2.700 0.000
Te 2.700 0.000 0.000
Mn 2.700 2.700 2.700
Ge 0.000 0.000 0.000
```

Space-group type: Pm-3m
Uncorrected formation energy in eV per atom: 0.67

---

(6)
Computed, not measured: crystalline Zr4Pt2N at its relaxed geometry at the PBE level of DFT.

Cell and atoms, written as extended XYZ:
```
14
Lattice="-1.362 -3.106 0.885 5.795 -1.810 2.567 -3.212 4.348 10.318" Properties=species:S:1:pos:R:3 pbc="T T T"
Pt 2.043 0.368 11.380
Pt 1.569 -1.156 5.300
Pt -0.822 -0.937 2.389
Pt -0.348 0.587 8.469
Zr 2.076 -0.594 8.054
Zr 3.363 -2.668 2.754
Zr 1.653 0.095 2.878
Zr 0.930 2.442 10.006
Zr -2.143 2.100 11.015
Zr -1.536 2.763 7.336
Zr 4.119 -0.226 5.548
Zr -0.855 0.025 5.715
N 2.897 -0.905 1.283
N -1.606 2.174 5.159
```

Space-group type: Pbam
Energy above the lowest structure with this stoichiometry in meV per atom: 225
Uncorrected formation energy in eV per atom: -0.95

---

| no. | DFT total energy (eV per atom) | DOS(E_F) (states/eV/atom) |
| --- | --- | --- |
| 1 | -2.8806 | 1.13 |
| 2 | -3.1541 | 0.06 |
| 3 | -9.7101 | 0.63 |
| 4 | -1.7526 | 0.65 |
| 5 | -3.9743 | 0.82 |
| 6 | -8.7500 | 0.65 |